[1]
A crystal of BSbAsBr2 relaxed with PBEsol. Source: Alexandria, functional SCAN.

Total moment: 0.00 μB per formula unit
Formation energy from raw total energies: 0.725 eV per atom
Calculated total energy: -100.2 eV per cell

abc: 4.491 4.491 4.865
angles: 90.00 90.00 90.00
Space group P4/mmm (No. 123)
Asymmetric unit:
B 0.000 0.000 0.000 [1 per cell]
Sb 0.500 0.500 0.500 [1 per cell]
As 0.000 0.000 0.500 [1 per cell]
Br 0.000 0.500 0.000 [2 per cell]

[2]
A crystal of ScBAs2Br relaxed with PBEsol. Source: Alexandria, functional SCAN.

Total moment: 0.00 μB per formula unit
Formation energy from raw total energies: 0.251 eV per atom
Calculated total energy: -80.3 eV per cell

abc: 4.282 4.282 4.988
angles: 90.00 90.00 90.00
Space group P4/mmm (No. 123)
Asymmetric unit:
Sc 0.000 0.000 0.000 [1 per cell]
B 0.500 0.500 0.500 [1 per cell]
As 0.000 0.500 0.500 [2 per cell]
Br 0.500 0.500 0.000 [1 per cell]

[3]
A crystal of SnBAs2Br relaxed with PBEsol. Source: Alexandria, functional SCAN.

Total moment: 0.56 μB per formula unit
Formation energy from raw total energies: 0.719 eV per atom
Calculated total energy: -99.6 eV per cell

abc: 4.328 4.328 5.339
angles: 90.00 90.00 90.00
Space group P4/mmm (No. 123)
Asymmetric unit:
Sn 0.000 0.000 0.000 [1 per cell]
B 0.500 0.500 0.500 [1 per cell]
As 0.000 0.500 0.500 [2 per cell]
Br 0.500 0.500 0.000 [1 per cell]

[4]
A crystal of SnBAsBr2 relaxed with PBEsol. Source: Alexandria, functional SCAN.

Total moment: 1.04 μB per formula unit
Formation energy from raw total energies: 1.113 eV per atom
Calculated total energy: -96.9 eV per cell

abc: 5.440 5.440 5.365
angles: 90.00 90.00 90.00
Space group P4/mmm (No. 123)
Asymmetric unit:
Sn 0.000 0.000 0.000 [1 per cell]
B 0.500 0.500 0.500 [1 per cell]
As 0.000 0.000 0.500 [1 per cell]
Br 0.000 0.500 0.000 [2 per cell]

[5]
A crystal of YB2AsBr relaxed with PBEsol. Source: Alexandria, functional SCAN.

Total moment: 0.00 μB per formula unit
Formation energy from raw total energies: 0.612 eV per atom
Calculated total energy: -79.3 eV per cell

abc: 4.106 4.106 5.614
angles: 90.00 90.00 90.00
Space group P4/mmm (No. 123)
Asymmetric unit:
Y 0.000 0.000 0.000 [1 per cell]
B 0.000 0.500 0.500 [2 per cell]
As 0.000 0.000 0.500 [1 per cell]
Br 0.500 0.500 0.000 [1 per cell]

[6]
A crystal of B2AsC2 relaxed with PBEsol. Source: Alexandria, functional SCAN.

Energy of formation from the pure elements: 2044 meV per atom
Total moment: 0.00 μB per formula unit
Calculated total energy: -90.1 eV per cell

abc: 5.960 5.960 2.562
angles: 90.00 90.00 90.00
Space group P4/mbm (No. 127)
Asymmetric unit:
B 0.104 0.396 0.000 [4 per cell]
As 0.000 0.000 0.500 [2 per cell]
C 0.103 0.603 0.500 [4 per cell]

Which of these has the highest calculated total energy? YB2AsBr

Which value of total moment does entry 4 give? 1.04 μB per formula unit

Which formula does entry 6 have? B2AsC2